DFT (PBE-GGA) results for PuCuIr after structural relaxation.

## Properties
* polymorph energy (0 for the lowest one): 0.3677 eV per atom
* energy of formation: 0.3741 eV per atom
* size of the total moment: 4.06 Bohr magnetons per cell
* crystal system: cubic

The structure in CIF format:
```
data_PuCuIr
_symmetry_space_group_name_H-M 'P 1'
_symmetry_Int_Tables_number 1
_cell_length_a 4.3967
_cell_length_b 4.3967
_cell_length_c 4.3967
_cell_angle_alpha 60.00
_cell_angle_beta 60.00
_cell_angle_gamma 60.00
loop_
_symmetry_equiv_pos_as_xyz
'x,y,z'
loop_
_atom_site_label
_atom_site_type_symbol
_atom_site_fract_x
_atom_site_fract_y
_atom_site_fract_z
Pu1 Pu 0.0000 0.0000 0.0000
Cu1 Cu 0.2500 0.2500 0.2500
Ir1 Ir 0.7500 0.7500 0.7500
```

***

DFT (PBE-GGA) results for FeNiOsPb after structural relaxation.

## Properties
* polymorph energy (0 for the lowest one): 0.0000 eV per atom
* size of the total moment: 2.81 Bohr magnetons per cell
* crystal system: cubic

The structure in CIF format:
```
data_FeNiOsPb
_symmetry_space_group_name_H-M 'P 1'
_symmetry_Int_Tables_number 1
_cell_length_a 4.3825
_cell_length_b 4.3825
_cell_length_c 4.3825
_cell_angle_alpha 60.00
_cell_angle_beta 60.00
_cell_angle_gamma 60.00
loop_
_symmetry_equiv_pos_as_xyz
'x,y,z'
loop_
_atom_site_label
_atom_site_type_symbol
_atom_site_fract_x
_atom_site_fract_y
_atom_site_fract_z
Os1 Os 0.5000 0.5000 0.5000
Ni1 Ni 0.2500 0.2500 0.2500
Pb1 Pb 0.0000 0.0000 0.0000
Fe1 Fe 0.7500 0.7500 0.7500
```

***

DFT (PBE-GGA) results for Y2HoEr after structural relaxation.

## Properties
* energy of formation: 0.0030 eV per atom
* size of the total moment: 0.69 Bohr magnetons per cell
* crystal system: orthorhombic

The structure in CIF format:
```
data_Y2HoEr
_symmetry_space_group_name_H-M 'P 1'
_symmetry_Int_Tables_number 1
_cell_length_a 7.2368
_cell_length_b 7.2368
_cell_length_c 5.6129
_cell_angle_alpha 90.00
_cell_angle_beta 90.00
_cell_angle_gamma 119.99
loop_
_symmetry_equiv_pos_as_xyz
'x,y,z'
loop_
_atom_site_label
_atom_site_type_symbol
_atom_site_fract_x
_atom_site_fract_y
_atom_site_fract_z
Y1 Y 0.8343 0.6655 0.7500
Y2 Y 0.1657 0.3345 0.2500
Y3 Y 0.3345 0.1657 0.7500
Y4 Y 0.6655 0.8343 0.2500
Ho1 Ho 0.3323 0.6677 0.7500
Ho2 Ho 0.6677 0.3323 0.2500
Er1 Er 0.1672 0.8328 0.2500
Er2 Er 0.8328 0.1672 0.7500
```

***

DFT (PBE-GGA) results for HfZnCoHg after structural relaxation.

## Properties
* polymorph energy (0 for the lowest one): 0.0466 eV per atom
* energy of formation: 0.1067 eV per atom
* size of the total moment: 0.02 Bohr magnetons per cell
* crystal system: cubic

The structure in CIF format:
```
data_HfZnCoHg
_symmetry_space_group_name_H-M 'P 1'
_symmetry_Int_Tables_number 1
_cell_length_a 4.5330
_cell_length_b 4.5330
_cell_length_c 4.5330
_cell_angle_alpha 60.00
_cell_angle_beta 60.00
_cell_angle_gamma 60.00
loop_
_symmetry_equiv_pos_as_xyz
'x,y,z'
loop_
_atom_site_label
_atom_site_type_symbol
_atom_site_fract_x
_atom_site_fract_y
_atom_site_fract_z
Co1 Co 0.7500 0.7500 0.7500
Zn1 Zn 0.0000 0.0000 0.0000
Hf1 Hf 0.2500 0.2500 0.2500
Hg1 Hg 0.5000 0.5000 0.5000
```

***

DFT (PBE-GGA) results for BiB2Pt2 after structural relaxation.

## Properties
* size of the total moment: 0.00 Bohr magnetons per cell
* crystal system: tetragonal
* uncorrected energy: -29.933 eV/f.u.

The structure in CIF format:
```
data_BiB2Pt2
_symmetry_space_group_name_H-M 'P 1'
_symmetry_Int_Tables_number 1
_cell_length_a 7.5368
_cell_length_b 7.5368
_cell_length_c 7.5368
_cell_angle_alpha 154.66
_cell_angle_beta 154.66
_cell_angle_gamma 36.13
loop_
_symmetry_equiv_pos_as_xyz
'x,y,z'
loop_
_atom_site_label
_atom_site_type_symbol
_atom_site_fract_x
_atom_site_fract_y
_atom_site_fract_z
Bi1 Bi 0.0000 0.0000 0.0000
B1 B 0.7500 0.2500 0.5000
B2 B 0.2500 0.7500 0.5000
Pt1 Pt 0.3438 0.3438 0.0000
Pt2 Pt 0.6562 0.6562 0.0000
```

***

DFT (PBE-GGA) results for NbInCuSe2S after structural relaxation.

## Properties
* size of the total moment: 1.24 Bohr magnetons per cell
* crystal system: orthorhombic
* uncorrected energy: -30.778 eV/f.u.

The structure in CIF format:
```
data_NbInCuSe2S
_symmetry_space_group_name_H-M 'P 1'
_symmetry_Int_Tables_number 1
_cell_length_a 7.4215
_cell_length_b 7.4215
_cell_length_c 9.5798
_cell_angle_alpha 90.00
_cell_angle_beta 90.00
_cell_angle_gamma 151.74
loop_
_symmetry_equiv_pos_as_xyz
'x,y,z'
loop_
_atom_site_label
_atom_site_type_symbol
_atom_site_fract_x
_atom_site_fract_y
_atom_site_fract_z
In1 In 0.7383 0.2617 0.2500
In2 In 0.2617 0.7383 0.7500
Nb1 Nb 0.0000 0.0000 0.5000
Nb2 Nb 0.0000 0.0000 0.0000
Cu1 Cu 0.4664 0.5336 0.2500
Cu2 Cu 0.5336 0.4664 0.7500
Se1 Se 0.6332 0.3668 0.5476
Se2 Se 0.3668 0.6332 0.4524
Se3 Se 0.3668 0.6332 0.0476
Se4 Se 0.6332 0.3668 0.9524
S1 S 0.0640 0.9360 0.2500
S2 S 0.9360 0.0640 0.7500
```

***

DFT (PBE-GGA) results for SmSc4C2S after structural relaxation.

## Properties
* size of the total moment: 0.83 Bohr magnetons per cell
* crystal system: hexagonal
* uncorrected energy: -58.959 eV/f.u.

The structure in CIF format:
```
data_SmSc4C2S
_symmetry_space_group_name_H-M 'P 1'
_symmetry_Int_Tables_number 1
_cell_length_a 3.4168
_cell_length_b 3.4168
_cell_length_c 14.7095
_cell_angle_alpha 90.00
_cell_angle_beta 90.00
_cell_angle_gamma 120.00
loop_
_symmetry_equiv_pos_as_xyz
'x,y,z'
loop_
_atom_site_label
_atom_site_type_symbol
_atom_site_fract_x
_atom_site_fract_y
_atom_site_fract_z
C1 C 0.3333 0.6667 0.2055
C2 C 0.3333 0.6667 0.7945
S1 S 0.6667 0.3333 0.0000
Sm1 Sm 0.0000 0.0000 0.5000
Sc1 Sc 0.6667 0.3333 0.2849
Sc2 Sc 0.0000 0.0000 0.8808
Sc3 Sc 0.6667 0.3333 0.7151
Sc4 Sc 0.0000 0.0000 0.1192
```

***

DFT (PBE-GGA) results for Lu2NiC after structural relaxation.

## Properties
* polymorph energy (0 for the lowest one): 0.0192 eV per atom
* size of the total moment: 0.01 Bohr magnetons per cell
* crystal system: hexagonal

The structure in CIF format:
```
data_Lu2NiC
_symmetry_space_group_name_H-M 'P 1'
_symmetry_Int_Tables_number 1
_cell_length_a 3.5195
_cell_length_b 3.5195
_cell_length_c 12.9937
_cell_angle_alpha 90.00
_cell_angle_beta 90.00
_cell_angle_gamma 120.00
loop_
_symmetry_equiv_pos_as_xyz
'x,y,z'
loop_
_atom_site_label
_atom_site_type_symbol
_atom_site_fract_x
_atom_site_fract_y
_atom_site_fract_z
Ni1 Ni 0.3333 0.6667 0.7500
Ni2 Ni 0.6667 0.3333 0.2500
C1 C 0.0000 0.0000 0.0000
C2 C 0.0000 0.0000 0.5000
Lu1 Lu 0.3333 0.6667 0.1010
Lu2 Lu 0.6667 0.3333 0.6010
Lu3 Lu 0.6667 0.3333 0.8990
Lu4 Lu 0.3333 0.6667 0.3990
```

***

We obtain theoretical density values of 13.8 14.3 6.7 12.7 13.2 6.1 4.3 10.0 g cm⁻³ for the records listed above, in that order.